[1]
# Pr12Y2Tm5

A geometry-optimized Pr12Y2Tm5 structure (PBE-GGA, Alexandria).

- Total moment: 0.00 Bohr magnetons per cell
- N(E_F): 1.369 states/eV/atom
- Offset from the most stable computed form: 0.005 eV per atom
- Raw total energy: -4.7700 eV/atom
- ΔE_f: 2.01 eV/f.u.

Cell: 13.084 11.715 9.519 Å, 90.00 116.15 90.00°
Space group C2/m (No. 12)
Asymmetric unit:
Pr 0.077 0.000 0.290 (multiplicity 4)
Pr 0.108 0.219 0.917 (multiplicity 8)
Pr 0.114 0.500 0.440 (multiplicity 4)
Pr 0.197 0.255 0.303 (multiplicity 8)
Y 0.000 0.224 0.500 (multiplicity 4)
Tm 0.000 0.500 0.000 (multiplicity 2)
Tm 0.190 0.000 0.734 (multiplicity 4)
Tm 0.196 0.500 0.840 (multiplicity 4)

---

[2]
# Sr2AcPuO8

A geometry-optimized Sr2AcPuO8 structure (PBE-GGA, Alexandria).

- Total moment: 1.08 Bohr magnetons per cell
- N(E_F): 0.131 states/eV/atom
- Raw total energy: -7.6259 eV/atom
- Formation energy (no corrections): -2.50 eV per atom

Cell: 4.322 7.822 5.652 Å, 90.00 96.24 90.00°
Space group P2/m (No. 10)
Asymmetric unit:
Sr 0.000 0.235 0.000 (multiplicity 2)
Ac 0.500 0.500 0.500 (multiplicity 1)
Pu 0.500 0.000 0.500 (multiplicity 1)
O 0.014 0.500 0.245 (multiplicity 2)
O 0.103 0.000 0.302 (multiplicity 2)
O 0.434 0.201 0.718 (multiplicity 4)

---

[3]
# NaSr2LiTl

A geometry-optimized NaSr2LiTl structure (PBE-GGA, Alexandria).

- Total moment: 0.00 Bohr magnetons per cell
- N(E_F): 0.960 states/eV/atom
- Raw total energy: -1.8010 eV/atom
- ΔE_f: -0.04 eV/f.u.

Cell: 6.463 6.463 5.297 Å, 90.00 90.00 90.00°
Space group P4/mmm (No. 123)
Asymmetric unit:
Na 0.000 0.000 0.000 (multiplicity 1)
Sr 0.000 0.500 0.500 (multiplicity 2)
Li 0.500 0.500 0.000 (multiplicity 1)
Tl 0.500 0.500 0.500 (multiplicity 1)

---

[4]
# CsSrP

A geometry-optimized CsSrP structure (PBE-GGA, Alexandria).

- Total moment: 0.00 Bohr magnetons per cell
- N(E_F): 0.000 states/eV/atom
- Raw total energy: -3.1734 eV/atom
- ΔE_f: -1.58 eV/f.u.

Cell: 8.412 5.216 11.822 Å, 90.00 90.00 90.00°
Space group Pnma (No. 62)
Asymmetric unit:
Cs 0.115 0.250 0.105 (multiplicity 4)
Sr 0.022 0.750 0.382 (multiplicity 4)
P 0.190 0.250 0.414 (multiplicity 4)

---

[5]
# AlAuS2

A geometry-optimized AlAuS2 structure (PBE-GGA, Alexandria).

- Total moment: 0.00 Bohr magnetons per cell
- N(E_F): 0.000 states/eV/atom
- Raw total energy: -4.4586 eV/atom
- Formation energy (no corrections): -0.64 eV per atom

Cell: 7.318 3.464 14.982 Å, 90.00 90.00 90.00°
Space group Pnma (No. 62)
Asymmetric unit:
Al 0.089 0.250 0.085 (multiplicity 4)
Au 0.043 0.750 0.397 (multiplicity 4)
S 0.146 0.250 0.932 (multiplicity 4)
S 0.244 0.750 0.154 (multiplicity 4)

---

[6]
# TcPtW2

A geometry-optimized TcPtW2 structure (PBE-GGA, Alexandria).

- Total moment: 0.00 Bohr magnetons per cell
- N(E_F): 0.608 states/eV/atom
- Offset from the most stable computed form: 0.157 eV per atom
- Raw total energy: -10.5544 eV/atom
- ΔE_f: 0.10 eV/f.u.

Cell: 2.700 4.158 5.618 Å, 90.00 95.71 90.00°
Space group Pm (No. 6)
Asymmetric unit:
Tc 0.000 0.000 0.000 (multiplicity 1)
Pt 0.429 0.500 0.744 (multiplicity 1)
W 0.400 0.500 0.234 (multiplicity 1)
W 0.865 0.000 0.505 (multiplicity 1)

---

[7]
# CdW2Br

A geometry-optimized CdW2Br structure (PBE-GGA, Alexandria).

- Total moment: 0.00 Bohr magnetons per cell
- N(E_F): 0.637 states/eV/atom
- Offset from the most stable computed form: 0.980 eV per atom
- Raw total energy: -5.7578 eV/atom
- Formation energy (no corrections): 1.37 eV per atom

Cell: 5.528 9.457 2.862 Å, 90.00 90.00 90.00°
Space group Cmmm (No. 65)
Asymmetric unit:
Cd 0.000 0.000 0.000 (multiplicity 2)
W 0.250 0.250 0.500 (multiplicity 4)
Br 0.000 0.500 0.000 (multiplicity 2)

---

[8]
# Ca4BiPb3

A geometry-optimized Ca4BiPb3 structure (PBE-GGA, Alexandria).

- Total moment: 0.00 Bohr magnetons per cell
- N(E_F): 0.379 states/eV/atom
- Raw total energy: -3.4358 eV/atom
- ΔE_f: -4.47 eV/f.u.

Cell: 3.829 3.829 16.830 Å, 90.00 90.00 90.00°
Space group P4/mmm (No. 123)
Asymmetric unit:
Ca 0.000 0.000 0.124 (multiplicity 2)
Ca 0.000 0.000 0.374 (multiplicity 2)
Bi 0.500 0.500 0.000 (multiplicity 1)
Pb 0.500 0.500 0.249 (multiplicity 2)
Pb 0.500 0.500 0.500 (multiplicity 1)